(1)
Material: DyPaHg2O6
Method: DFT, PBE
State: relaxed

Structure (POSCAR):
```
DyPaHg2O6
1.0
2.934 1.694 5.186
-2.934 1.694 5.186
0.000 -3.388 5.186
Dy Pa Hg O
1 1 2 6
direct
0.000 0.000 0.000 Dy
0.500 0.500 0.500 Pa
0.254 0.254 0.254 Hg
0.746 0.746 0.746 Hg
0.135 0.376 0.740 O
0.260 0.865 0.624 O
0.376 0.740 0.135 O
0.624 0.260 0.865 O
0.740 0.135 0.376 O
0.865 0.624 0.260 O
```

Output
Uncorrected formation energy: -2.235 eV/atom
M_tot: 0.00 μB per cell

(2)
Material: PmDy2HgO
Method: DFT, PBE
State: relaxed

Structure (POSCAR):
```
PmDy2HgO
1.0
4.772 0.000 0.000
0.000 4.772 0.000
0.000 0.000 4.902
Pm Dy Hg O
1 2 1 1
direct
0.000 0.000 0.000 Pm
0.000 0.500 0.500 Dy
0.500 0.000 0.500 Dy
0.500 0.500 0.000 Hg
0.000 0.000 0.500 O
```

Output
Uncorrected formation energy: -1.373 eV/atom
M_tot: 0.00 μB per cell

(3)
Material: DyPuHg2O6
Method: DFT, PBE
State: relaxed

Structure (POSCAR):
```
DyPuHg2O6
1.0
2.914 1.682 5.115
-2.914 1.682 5.115
0.000 -3.364 5.115
Dy Pu Hg O
1 1 2 6
direct
0.000 0.000 0.000 Dy
0.500 0.500 0.500 Pu
0.252 0.252 0.252 Hg
0.748 0.748 0.748 Hg
0.141 0.738 0.375 O
0.262 0.625 0.859 O
0.375 0.141 0.738 O
0.625 0.859 0.262 O
0.738 0.375 0.141 O
0.859 0.262 0.625 O
```

Output
Uncorrected formation energy: -1.928 eV/atom
M_tot: 3.00 μB per cell

(4)
Material: DyHgSO6
Method: DFT, PBE
State: relaxed

Structure (POSCAR):
```
DyHgSO6
1.0
5.386 0.000 0.000
-2.693 4.664 0.000
0.000 0.000 4.713
Dy Hg S O
1 1 1 6
direct
0.000 0.000 0.000 Dy
0.333 0.667 0.500 Hg
0.667 0.333 0.000 S
0.408 0.080 0.796 O
0.408 0.328 0.204 O
0.672 0.080 0.204 O
0.672 0.592 0.796 O
0.920 0.328 0.796 O
0.920 0.592 0.204 O
```

Output
Uncorrected formation energy: -1.167 eV/atom
M_tot: 1.06 μB per cell

(5)
Material: DyHgSe2O8
Method: DFT, PBE
State: relaxed

Structure (POSCAR):
```
DyHgSe2O8
1.0
4.648 -2.939 0.000
4.648 2.939 0.000
-0.646 0.000 8.158
Dy Hg Se O
1 1 2 8
direct
0.000 0.000 0.000 Dy
0.000 0.000 0.500 Hg
0.340 0.340 0.774 Se
0.660 0.660 0.226 Se
0.214 0.678 0.804 O
0.223 0.223 0.918 O
0.262 0.262 0.584 O
0.322 0.786 0.196 O
0.678 0.214 0.804 O
0.738 0.738 0.416 O
0.777 0.777 0.082 O
0.786 0.322 0.196 O
```

Output
Uncorrected formation energy: -1.182 eV/atom
M_tot: 0.33 μB per cell

(6)
Material: SmDy2HgO
Method: DFT, PBE
State: relaxed

Structure (POSCAR):
```
SmDy2HgO
1.0
4.769 0.000 0.000
0.000 4.769 0.000
0.000 0.000 4.876
Sm Dy Hg O
1 2 1 1
direct
0.000 0.000 0.000 Sm
0.000 0.500 0.500 Dy
0.500 0.000 0.500 Dy
0.500 0.500 0.000 Hg
0.000 0.000 0.500 O
```

Output
Uncorrected formation energy: -1.377 eV/atom
M_tot: 0.00 μB per cell

(7)
Material: TbDy2HgO
Method: DFT, PBE
State: relaxed

Structure (POSCAR):
```
TbDy2HgO
1.0
4.762 0.000 0.000
0.000 4.762 0.000
0.000 0.000 4.785
Tb Dy Hg O
1 2 1 1
direct
0.000 0.000 0.000 Tb
0.000 0.500 0.500 Dy
0.500 0.000 0.500 Dy
0.500 0.500 0.000 Hg
0.000 0.000 0.500 O
```

Output
Uncorrected formation energy: -1.392 eV/atom
M_tot: 0.00 μB per cell

(8)
Material: DyTcHgO6
Method: DFT, PBE
State: relaxed

Structure (POSCAR):
```
DyTcHgO6
1.0
2.846 -4.942 0.000
2.846 4.942 0.000
-1.621 0.000 5.192
Dy Tc Hg O
1 1 1 6
direct
0.000 0.000 0.000 Dy
0.354 0.646 0.000 Tc
0.687 0.313 0.500 Hg
0.000 0.642 0.790 O
0.124 0.446 0.193 O
0.251 0.321 0.779 O
0.358 0.000 0.210 O
0.554 0.876 0.807 O
0.679 0.749 0.221 O
```

Output
Uncorrected formation energy: -1.613 eV/atom
M_tot: 0.00 μB per cell